# 1
Compound: Mn2AgTe
Source: Alexandria via LeMat-Bulk
Functional: PBEsol
Structure: relaxed

Lattice parameters (Å, degrees): 3.144 3.144 8.437 79.26 79.26 60.00
Last column: magnetic moment on the atom in μB.
Element x y z (fractional)
Ag (0.262, 0.262, 0.213)  0.01
Mn (0.012, 0.012, 0.965)  3.06
Mn (0.739, 0.739, 0.782)  -2.64
Te (0.487, 0.487, 0.539)  0.07

Computed properties:
Its total energy is -6.14 eV per atom. As for the crystal system: trigonal. The value obtained for the spin magnetization is 0.5 μB per formula unit. Its raw formation energy is 43.83 kJ/mol of atoms.

***

# 2
Compound: HoGa6
Source: Alexandria via LeMat-Bulk
Functional: PBEsol
Structure: relaxed

Lattice parameters (Å, degrees): 5.840 5.840 7.478 90.00 90.00 90.00
Element x y z (fractional)
Ho (0.500, 0.000, 0.000)
Ho (0.000, 0.500, 0.000)
Ga (0.500, 0.500, 0.161)
Ga (0.000, 0.000, 0.161)
Ga (0.000, 0.000, 0.839)
Ga (0.500, 0.500, 0.839)
Ga (0.822, 0.678, 0.352)
Ga (0.322, 0.822, 0.352)
Ga (0.678, 0.178, 0.352)
Ga (0.178, 0.322, 0.352)
Ga (0.678, 0.822, 0.648)
Ga (0.178, 0.678, 0.648)
Ga (0.822, 0.322, 0.648)
Ga (0.322, 0.178, 0.648)

Computed properties:
Its total energy is -3.92 eV per atom. As for the crystal system: tetragonal. The value obtained for the spin magnetization is 0.0 μB per formula unit. The formation energy comes out at -0.353 eV/atom.

***

# 3
Compound: YAs2W
Source: Alexandria via LeMat-Bulk
Functional: PBEsol
Structure: relaxed

Lattice parameters (Å, degrees): 3.640 4.009 5.330 90.00 90.00 90.00
Element x y z (fractional)
Y (0.000, 0.000, 0.500)
As (0.000, 0.000, 0.000)
As (0.500, 0.500, 0.500)
W (0.500, 0.500, 0.000)

Computed properties:
Its total energy is -7.91 eV per atom. As for the crystal system: orthorhombic. The value obtained for the energy relative to the lowest polymorph listed for this composition is 0 meV/atom. The value obtained for the spin magnetization is 0.0 μB per formula unit. The formation energy comes out at -0.198 eV/atom.

***

# 4
Compound: AlReSe2
Source: Alexandria via LeMat-Bulk
Functional: PBEsol
Structure: relaxed

Lattice parameters (Å, degrees): 3.035 4.826 5.389 116.60 106.36 90.00
Element x y z (fractional)
Re (0.742, 0.242, 0.484)
Al (0.492, 0.492, 0.983)
Se (0.030, 0.030, 0.060)
Se (0.237, 0.737, 0.474)

Computed properties:
Its total energy is -6.02 eV per atom. As for the crystal system: orthorhombic. The value obtained for the spin magnetization is 0.0 μB per formula unit. Its raw formation energy is 24.98 kJ/mol of atoms.

***

# 5
Compound: Sc5Tl
Source: Alexandria via LeMat-Bulk
Functional: PBEsol
Structure: relaxed

Lattice parameters (Å, degrees): 3.260 6.027 7.503 103.73 90.00 105.69
Element x y z (fractional)
Sc (0.011, 0.022, 0.999)
Sc (0.660, 0.319, 0.337)
Sc (0.332, 0.664, 0.670)
Sc (0.385, 0.770, 0.269)
Sc (0.051, 0.101, 0.609)
Tl (0.729, 0.457, 0.948)

Computed properties:
Its total energy is -6.08 eV per atom. As for the crystal system: monoclinic. The value obtained for the energy relative to the lowest polymorph listed for this composition is 27 meV/atom. The value obtained for the spin magnetization is 0.0 μB per formula unit. The formation energy comes out at -0.133 eV/atom.

***

# 6
Compound: Li2ZnPt
Source: Alexandria via LeMat-Bulk
Functional: PBEsol
Structure: relaxed

Lattice parameters (Å, degrees): 2.796 4.548 4.644 102.04 107.51 90.00
Element x y z (fractional)
Zn (0.754, 0.280, 0.509)
Pt (0.498, 0.480, 0.997)
Li (0.005, 0.988, 0.010)
Li (0.242, 0.753, 0.484)

Computed properties:
Its total energy is -3.54 eV per atom. As for the crystal system: monoclinic. The value obtained for the spin magnetization is 0.0 μB per formula unit. The formation energy comes out at -0.423 eV/atom.

***

# 7
Compound: CdP2Pb
Source: Alexandria via LeMat-Bulk
Functional: PBEsol
Structure: relaxed

Lattice parameters (Å, degrees): 4.892 4.892 4.892 77.24 71.30 117.30
Element x y z (fractional)
Cd (0.500, 0.500, 0.000)
P (0.000, 0.816, 0.184)
P (0.000, 0.184, 0.816)
Pb (0.500, 0.000, 0.500)

Computed properties:
Its total energy is -3.87 eV per atom. As for the crystal system: orthorhombic. The value obtained for the spin magnetization is 0.0 μB per formula unit. The formation energy comes out at 0.325 eV/atom.

***

# 8
Compound: Fe2CoNi
Source: Alexandria via LeMat-Bulk
Functional: PBEsol
Structure: relaxed

Lattice parameters (Å, degrees): 2.406 4.622 4.622 116.63 100.10 100.10
Last column: magnetic moment on the atom in μB.
Element x y z (fractional)
Ni (0.500, 0.000, 0.000)  0.74
Co (0.500, 0.500, 0.500)  1.72
Fe (0.000, 0.500, 0.000)  2.56
Fe (0.000, 0.000, 0.500)  2.56

Computed properties:
Its total energy is -7.90 eV per atom. As for the crystal system: monoclinic. The value obtained for the energy relative to the lowest polymorph listed for this composition is 39 meV/atom. The value obtained for the spin magnetization is 7.5 μB per formula unit. The formation energy comes out at 0.054 eV/atom.